Here is TlCd15Hg4 after structural relaxation from the Alexandria database. Energies are from GGA-PBE.

CIF file:
```
data_TlCd15Hg4
_cell_length_a 5.567
_cell_length_b 5.567
_cell_length_c 15.326
_cell_angle_alpha 90.00
_cell_angle_beta 90.00
_cell_angle_gamma 90.00
_symmetry_space_group_name_H-M 'P 4/m m m'
_symmetry_Int_Tables_number 123
_symmetry_space_group_name_Hall '-P 4 2'
loop_
_atom_site_label
_atom_site_fract_x
_atom_site_fract_y
_atom_site_fract_z
Tl1 0.000 0.000 0.000
Cd1 0.000 0.500 0.103
Cd2 0.000 0.500 0.301
Cd3 0.000 0.500 0.500
Cd4 0.500 0.500 0.000
Cd5 0.500 0.500 0.201
Cd6 0.500 0.500 0.400
Hg1 0.000 0.000 0.204
Hg2 0.000 0.000 0.401
```

Total energy   -16.61 eV for the cell shown